BaSeO4 | PBE | optimized geometry Values from VASP.

Cell and atoms, written as Quantum ESPRESSO input:
```
&SYSTEM
  ibrav = 0, nat = 24, ntyp = 3
/
ATOMIC_SPECIES
Ba 137.33 Ba.upf
Se 78.96 Se.upf
O 16.00 O.upf
CELL_PARAMETERS angstrom
7.272 0.000 0.000
0.000 7.825 0.000
-5.573 0.000 7.357
ATOMIC_POSITIONS angstrom
Ba -0.241 1.252 2.072
Ba -3.027 2.661 5.750
Ba 4.727 5.164 1.607
Ba 1.940 6.573 5.285
Se 1.119 5.213 1.406
Se -1.668 6.525 5.084
Se 3.367 1.300 2.272
Se 0.580 2.612 5.951
O -2.630 5.246 4.550
O 0.156 6.492 0.872
O 0.056 3.989 1.816
O -2.730 7.749 5.495
O 2.170 4.802 0.166
O -0.617 6.936 3.844
O 2.383 1.720 0.989
O -0.403 2.193 4.667
O 2.102 5.632 2.690
O -0.684 6.105 6.368
O 2.316 0.890 3.513
O -0.470 3.023 7.191
O 4.430 0.076 1.862
O 1.643 3.836 5.541
O 1.543 1.333 6.485
O 4.329 2.579 2.807
```

## Properties
Uncorrected formation energy ... -163.2 kJ/mol of atoms
Size of the total moment ... 0.00 μB/atom
Density of states at the Fermi level ... 0.0 states/eV per cell
Crystal system ... monoclinic
E ... -35.4 eV/f.u.